Model a:
Below is a relaxed structure of CdSbPbF, with properties calculated at the GGA-PBE level.

The structure in POSCAR format:
```
CdSbPbF
1.0
4.0182 0.0000 0.0000
0.0000 4.0182 0.0000
0.0000 0.0000 11.5176
Cd Sb Pb F
2 2 2 2
direct
0.2500 0.2500 0.2106 Cd
0.7500 0.7500 0.7894 Cd
0.2500 0.2500 0.9429 Sb
0.7500 0.7500 0.0571 Sb
0.2500 0.2500 0.6370 Pb
0.7500 0.7500 0.3630 Pb
0.2500 0.7500 0.5000 F
0.7500 0.2500 0.5000 F
```

Output
Symmetry = P4/nmm

Model b:
Below is a relaxed structure of CdSbPbF, with properties calculated at the GGA-PBE level.

The structure in POSCAR format:
```
CdSbPbF
1.0
9.7186 0.0000 0.0000
0.0000 19.0060 0.0000
0.0000 0.0000 4.5222
Cd Sb Pb F
8 8 8 8
direct
0.0720 0.1089 0.0000 Cd
0.0837 0.5778 0.0000 Cd
0.4163 0.0778 0.0000 Cd
0.4280 0.6089 0.0000 Cd
0.5720 0.3911 0.0000 Cd
0.5837 0.9222 0.0000 Cd
0.9163 0.4222 0.0000 Cd
0.9280 0.8911 0.0000 Cd
0.2036 0.9760 0.0000 Sb
0.2254 0.7202 0.0000 Sb
0.2746 0.2202 0.0000 Sb
0.2964 0.4760 0.0000 Sb
0.7036 0.5240 0.0000 Sb
0.7254 0.7798 0.0000 Sb
0.7746 0.2798 0.0000 Sb
0.7964 0.0240 0.0000 Sb
0.0158 0.7292 0.5000 Pb
0.2451 0.3795 0.5000 Pb
0.2549 0.8795 0.5000 Pb
0.4842 0.2292 0.5000 Pb
0.5158 0.7708 0.5000 Pb
0.7451 0.1205 0.5000 Pb
0.7549 0.6205 0.5000 Pb
0.9842 0.2708 0.5000 Pb
0.0006 0.1390 0.5000 F
0.0090 0.5892 0.5000 F
0.4910 0.0892 0.5000 F
0.4994 0.6390 0.5000 F
0.5006 0.3610 0.5000 F
0.5090 0.9108 0.5000 F
0.9910 0.4108 0.5000 F
0.9994 0.8610 0.5000 F
```

Output
Symmetry = Pbam

Q: Which of them is the most stable? A: model a.

Model a:
Below is a relaxed structure of CdSbPbF, with properties calculated at the GGA-PBE level.

The structure in POSCAR format:
```
CdSbPbF
1.0
2.0948 1.2094 12.6297
-2.0948 1.2094 12.6297
0.0000 -2.4188 12.6297
Cd Sb Pb F
2 2 2 2
direct
0.1271 0.1271 0.1271 Cd
0.8729 0.8729 0.8729 Cd
0.4136 0.4136 0.4136 Sb
0.5864 0.5864 0.5864 Sb
0.3014 0.3014 0.3014 Pb
0.6986 0.6986 0.6986 Pb
0.1859 0.1859 0.1859 F
0.8141 0.8141 0.8141 F
```

Output
Symmetry = R-3m

Model b:
Below is a relaxed structure of CdSbPbF, with properties calculated at the GGA-PBE level.

The structure in POSCAR format:
```
CdSbPbF
1.0
4.4895 0.0000 0.0000
0.0000 4.4895 0.0000
0.0000 0.0000 9.2185
Cd Sb Pb F
2 2 2 2
direct
0.2500 0.2500 0.1329 Cd
0.7500 0.7500 0.8671 Cd
0.2500 0.2500 0.7450 Sb
0.7500 0.7500 0.2550 Sb
0.2500 0.7500 0.5000 Pb
0.7500 0.2500 0.5000 Pb
0.2500 0.7500 0.0000 F
0.7500 0.2500 0.0000 F
```

Output
Symmetry = P4/nmm

Model c:
Below is a relaxed structure of CdSbPbF, with properties calculated at the GGA-PBE level.

The structure in POSCAR format:
```
CdSbPbF
1.0
7.0133 0.0000 0.0000
0.0000 8.0917 0.0000
-0.0062 0.0000 7.3883
Cd Sb Pb F
4 4 4 4
direct
0.2045 0.0000 0.2972 Cd
0.2951 0.3856 0.7967 Cd
0.7049 0.8856 0.2033 Cd
0.7955 0.5000 0.7028 Cd
0.0273 0.2410 0.5638 Sb
0.4726 0.1443 0.0638 Sb
0.5274 0.6443 0.9362 Sb
0.9727 0.7410 0.4362 Sb
0.2348 0.9254 0.7818 Pb
0.2652 0.4602 0.2817 Pb
0.7348 0.9602 0.7183 Pb
0.7652 0.4254 0.2182 Pb
0.0436 0.4142 0.0250 F
0.4567 0.9712 0.5252 F
0.5433 0.4712 0.4748 F
0.9564 0.9142 0.9750 F
```

Output
Symmetry = P2_1

Q: Which of them is the most stable? A: model c.

Model a:
Below is a relaxed structure of CdSbPbF, with properties calculated at the GGA-PBE level.

The structure in POSCAR format:
```
CdSbPbF
1.0
7.1804 0.0000 0.0000
0.0000 7.3561 0.0000
0.0000 0.0000 7.5160
Cd Sb Pb F
4 4 4 4
direct
0.1177 0.2287 0.4636 Cd
0.3823 0.7713 0.9636 Cd
0.6177 0.2713 0.5364 Cd
0.8823 0.7287 0.0364 Cd
0.0843 0.9449 0.7995 Sb
0.4157 0.0551 0.2995 Sb
0.5843 0.5551 0.2005 Sb
0.9157 0.4449 0.7005 Sb
0.2198 0.7082 0.4647 Pb
0.2802 0.2918 0.9647 Pb
0.7198 0.7918 0.5353 Pb
0.7802 0.2082 0.0353 Pb
0.0415 0.3822 0.1834 F
0.4585 0.6178 0.6834 F
0.5415 0.1178 0.8166 F
0.9585 0.8822 0.3166 F
```

Output
Symmetry = P2_12_12_1

Model b:
Below is a relaxed structure of CdSbPbF, with properties calculated at the GGA-PBE level.

The structure in POSCAR format:
```
CdSbPbF
1.0
10.3372 0.0000 0.0000
0.0000 17.3320 0.0000
0.0000 0.0000 4.4530
Cd Sb Pb F
8 8 8 8
direct
0.0901 0.2357 0.0000 Cd
0.1551 0.5977 0.0000 Cd
0.3449 0.0977 0.0000 Cd
0.4099 0.7357 0.0000 Cd
0.5901 0.2643 0.0000 Cd
0.6551 0.9023 0.0000 Cd
0.8449 0.4023 0.0000 Cd
0.9099 0.7643 0.0000 Cd
0.0250 0.4182 0.5000 Sb
0.1413 0.1270 0.5000 Sb
0.3587 0.6270 0.5000 Sb
0.4750 0.9182 0.5000 Sb
0.5250 0.0818 0.5000 Sb
0.6413 0.3730 0.5000 Sb
0.8587 0.8730 0.5000 Sb
0.9750 0.5818 0.5000 Sb
0.1224 0.7512 0.5000 Pb
0.1731 0.9404 0.5000 Pb
0.3269 0.4404 0.5000 Pb
0.3776 0.2512 0.5000 Pb
0.6224 0.7488 0.5000 Pb
0.6731 0.5596 0.5000 Pb
0.8269 0.0596 0.5000 Pb
0.8776 0.2488 0.5000 Pb
0.2125 0.9840 0.0000 F
0.2299 0.8125 0.0000 F
0.2701 0.3125 0.0000 F
0.2875 0.4840 0.0000 F
0.7125 0.5160 0.0000 F
0.7299 0.6875 0.0000 F
0.7701 0.1875 0.0000 F
0.7875 0.0160 0.0000 F
```

Output
Symmetry = Pbam

Q: Which of them is the most stable? A: model a.

Model a:
Below is a relaxed structure of CdSbPbF, with properties calculated at the GGA-PBE level.

The structure in POSCAR format:
```
CdSbPbF
1.0
4.4006 0.0000 0.0000
0.0000 4.4006 0.0000
0.0000 0.0000 9.6767
Cd Sb Pb F
2 2 2 2
direct
0.2500 0.7500 0.0000 Cd
0.7500 0.2500 0.0000 Cd
0.2500 0.2500 0.2038 Sb
0.7500 0.7500 0.7962 Sb
0.2500 0.2500 0.6443 Pb
0.7500 0.7500 0.3557 Pb
0.2500 0.7500 0.5000 F
0.7500 0.2500 0.5000 F
```

Output
Symmetry = P4/nmm

Model b:
Below is a relaxed structure of CdSbPbF, with properties calculated at the GGA-PBE level.

The structure in POSCAR format:
```
CdSbPbF
1.0
1.6666 -12.3278 0.0000
1.6666 12.3278 0.0000
0.0000 0.0000 5.1359
Cd Sb Pb F
2 2 2 2
direct
0.0000 0.0000 0.0000 Cd
0.0000 0.0000 0.5000 Cd
0.2610 0.7390 0.7500 Sb
0.7390 0.2610 0.2500 Sb
0.3862 0.6138 0.7500 Pb
0.6138 0.3862 0.2500 Pb
0.4028 0.5972 0.2500 F
0.5972 0.4028 0.7500 F
```

Output
Symmetry = Cmcm

Q: Which of them is the most stable? A: model a.

Model a:
Below is a relaxed structure of Rb3CdF6, with properties calculated at the GGA-PBE level.

The structure in POSCAR format:
```
Rb3CdF6
1.0
6.2180 0.0000 0.0000
3.0955 5.4160 0.0000
3.0093 -1.6686 5.3704
Rb Cd F
3 1 6
direct
0.0000 0.0000 0.0000 Rb
0.4970 0.7525 0.2593 Rb
0.5030 0.2475 0.7407 Rb
0.0000 0.5000 0.5000 Cd
0.0190 0.7883 0.6490 F
0.0826 0.6164 0.1716 F
0.4602 0.2220 0.3270 F
0.5398 0.7780 0.6730 F
0.9174 0.3836 0.8284 F
0.9810 0.2117 0.3510 F
```

Output
Symmetry = P-1

Model b:
Below is a relaxed structure of Rb3CdF6, with properties calculated at the GGA-PBE level.

The structure in POSCAR format:
```
Rb3CdF6
1.0
-3.0805 3.0805 4.6496
3.0805 -3.0805 4.6496
3.0805 3.0805 -4.6496
Rb Cd F
3 1 6
direct
0.0000 0.0000 0.0000 Rb
0.2500 0.7500 0.5000 Rb
0.7500 0.2500 0.5000 Rb
0.5000 0.5000 0.0000 Cd
0.1861 0.6350 0.8211 F
0.2687 0.2687 0.0000 F
0.3650 0.1861 0.5512 F
0.6350 0.8139 0.4488 F
0.7313 0.7313 0.0000 F
0.8139 0.3650 0.1789 F
```

Output
Symmetry = I4/m

Q: Which of them is the most stable? A: model a.

Model a:
Below is a relaxed structure of TlCdSF, with properties calculated at the GGA-PBE level.

The structure in POSCAR format:
```
TlCdSF
1.0
2.1735 1.2549 11.5351
-2.1735 1.2549 11.5351
0.0000 -2.5097 11.5351
Tl Cd S F
2 2 2 2
direct
0.1214 0.1214 0.1214 Tl
0.8786 0.8786 0.8786 Tl
0.2984 0.2984 0.2984 Cd
0.7016 0.7016 0.7016 Cd
0.3784 0.3784 0.3784 S
0.6216 0.6216 0.6216 S
0.1938 0.1938 0.1938 F
0.8062 0.8062 0.8062 F
```

Output
Symmetry = R-3m

Model b:
Below is a relaxed structure of TlCdSF, with properties calculated at the GGA-PBE level.

The structure in POSCAR format:
```
TlCdSF
1.0
2.9120 -2.9168 0.0000
2.9120 2.9168 0.0000
0.0000 0.0000 9.5009
Tl Cd S F
2 2 2 2
direct
0.2500 0.2500 0.0000 Tl
0.7500 0.7500 0.0000 Tl
0.2500 0.7500 0.6284 Cd
0.7500 0.2500 0.3716 Cd
0.2500 0.7500 0.2448 S
0.7500 0.2500 0.7552 S
0.2500 0.2500 0.5000 F
0.7500 0.7500 0.5000 F
```

Output
Symmetry = Cmme

Model c:
Below is a relaxed structure of TlCdSF, with properties calculated at the GGA-PBE level.

The structure in POSCAR format:
```
TlCdSF
1.0
10.3001 0.0000 0.0000
0.0000 19.1446 0.0000
0.0000 0.0000 4.3076
Tl Cd S F
8 8 8 8
direct
0.1478 0.2340 0.0000 Tl
0.2214 0.0299 0.0000 Tl
0.2786 0.5299 0.0000 Tl
0.3522 0.7340 0.0000 Tl
0.6478 0.2660 0.0000 Tl
0.7214 0.4701 0.0000 Tl
0.7786 0.9701 0.0000 Tl
0.8522 0.7660 0.0000 Tl
0.0081 0.3864 0.5000 Cd
0.1466 0.8809 0.5000 Cd
0.3534 0.3809 0.5000 Cd
0.4919 0.8864 0.5000 Cd
0.5081 0.1136 0.5000 Cd
0.6466 0.6191 0.5000 Cd
0.8534 0.1191 0.5000 Cd
0.9919 0.6136 0.5000 Cd
0.0365 0.8904 0.0000 S
0.0844 0.6492 0.0000 S
0.4156 0.1492 0.0000 S
0.4635 0.3904 0.0000 S
0.5365 0.6096 0.0000 S
0.5844 0.8508 0.0000 S
0.9156 0.3508 0.0000 S
0.9635 0.1096 0.0000 S
0.1766 0.4616 0.5000 F
0.1855 0.3091 0.5000 F
0.3145 0.8091 0.5000 F
0.3234 0.9616 0.5000 F
0.6766 0.0384 0.5000 F
0.6855 0.1909 0.5000 F
0.8145 0.6909 0.5000 F
0.8234 0.5384 0.5000 F
```

Output
Symmetry = Pbam

Model d:
Below is a relaxed structure of TlCdSF, with properties calculated at the GGA-PBE level.

The structure in POSCAR format:
```
TlCdSF
1.0
6.8023 0.0000 0.0000
0.0000 7.2440 0.0000
0.0000 0.0000 7.3796
Tl Cd S F
4 4 4 4
direct
0.0354 0.0124 0.1849 Tl
0.4646 0.9876 0.6849 Tl
0.5354 0.4876 0.8151 Tl
0.9646 0.5124 0.3151 Tl
0.0147 0.6446 0.8189 Cd
0.4853 0.3554 0.3189 Cd
0.5147 0.8554 0.1811 Cd
0.9853 0.1446 0.6811 Cd
0.1333 0.3406 0.9123 S
0.3667 0.6594 0.4123 S
0.6333 0.1594 0.0877 S
0.8667 0.8406 0.5877 S
0.2099 0.2134 0.4437 F
0.2901 0.7866 0.9437 F
0.7099 0.2866 0.5563 F
0.7901 0.7134 0.0563 F
```

Output
Symmetry = P2_12_12_1

Q: Which of them is the most stable? A: model a.

Model a:
Below is a relaxed structure of TlCdSF, with properties calculated at the GGA-PBE level.

The structure in POSCAR format:
```
TlCdSF
1.0
6.7227 0.0000 0.0000
0.0000 7.1089 0.0000
0.0000 0.0000 7.2668
Tl Cd S F
4 4 4 4
direct
0.0604 0.1770 0.0746 Tl
0.4396 0.8230 0.5746 Tl
0.5604 0.3230 0.9254 Tl
0.9396 0.6770 0.4254 Tl
0.0961 0.6747 0.9175 Cd
0.4039 0.3253 0.4175 Cd
0.5961 0.8253 0.0825 Cd
0.9039 0.1747 0.5825 Cd
0.1671 0.4077 0.6849 S
0.3329 0.5923 0.1849 S
0.6671 0.0923 0.3151 S
0.8329 0.9077 0.8151 S
0.1735 0.0578 0.4139 F
0.3265 0.9422 0.9139 F
0.6735 0.4422 0.5861 F
0.8265 0.5578 0.0861 F
```

Output
Symmetry = P2_12_12_1

Model b:
Below is a relaxed structure of TlCdSF, with properties calculated at the GGA-PBE level.

The structure in POSCAR format:
```
TlCdSF
1.0
9.9704 0.0000 0.0000
0.0000 18.5490 0.0000
0.0000 0.0000 4.0676
Tl Cd S F
8 8 8 8
direct
0.0327 0.2360 0.0000 Tl
0.2469 0.8704 0.0000 Tl
0.2531 0.3704 0.0000 Tl
0.4673 0.7360 0.0000 Tl
0.5327 0.2640 0.0000 Tl
0.7469 0.6296 0.0000 Tl
0.7531 0.1296 0.0000 Tl
0.9673 0.7640 0.0000 Tl
0.0967 0.5908 0.5000 Cd
0.0975 0.0724 0.5000 Cd
0.4025 0.5724 0.5000 Cd
0.4033 0.0908 0.5000 Cd
0.5967 0.9092 0.5000 Cd
0.5975 0.4276 0.5000 Cd
0.9025 0.9276 0.5000 Cd
0.9033 0.4092 0.5000 Cd
0.2246 0.1906 0.5000 S
0.2291 0.4744 0.5000 S
0.2709 0.9744 0.5000 S
0.2754 0.6906 0.5000 S
0.7246 0.3094 0.5000 S
0.7291 0.0256 0.5000 S
0.7709 0.5256 0.5000 S
0.7754 0.8094 0.5000 S
0.0018 0.9195 0.0000 F
0.0065 0.6059 0.0000 F
0.4935 0.1059 0.0000 F
0.4982 0.4195 0.0000 F
0.5018 0.5805 0.0000 F
0.5065 0.8941 0.0000 F
0.9935 0.3941 0.0000 F
0.9982 0.0805 0.0000 F
```

Output
Symmetry = Pbam

Model c:
Below is a relaxed structure of TlCdSF, with properties calculated at the GGA-PBE level.

The structure in POSCAR format:
```
TlCdSF
1.0
4.4244 0.0000 0.0000
0.0000 4.4244 0.0000
0.0000 0.0000 9.7414
Tl Cd S F
2 2 2 2
direct
0.2500 0.2500 0.1340 Tl
0.7500 0.7500 0.8660 Tl
0.2500 0.7500 0.5000 Cd
0.7500 0.2500 0.5000 Cd
0.2500 0.2500 0.6443 S
0.7500 0.7500 0.3557 S
0.2500 0.7500 0.0000 F
0.7500 0.2500 0.0000 F
```

Output
Symmetry = P4/nmm

Q: Which of them is the most stable? A: model a.